Material: CaCd2Re
Method: DFT, SCAN
State: PBEsol geometry

Lattice parameters (Å, degrees): 4.8143 4.8143 4.8143 60.00 60.00 60.00
Positions (direct):
Re1 0.5000 0.5000 0.5000
Ca1 0.0000 0.0000 0.0000
Cd1 0.2500 0.2500 0.2500
Cd2 0.7500 0.7500 0.7500

## Properties
DOS at the Fermi energy: 0.672 states/eV/atom
crystal system: cubic
total magnetic moment: 0.289 μB/atom
ρ: 9.5 g/cm3
formation enthalpy at 0 K: 0.528 eV/atom
final energy: -34.869 eV/atom